Record 1
Here is a relaxed structure of Cs2SnAsS4 from Alexandria. Energies are from PBE.

Lattice parameters (Å, degrees): 7.3668 7.3668 7.3668 94.80 117.27 117.27
Closest atoms and distances in Å follow each position.
Element x y z (fractional)
Cs 0.5000 0.7500 0.2500  4 S 3.66
Cs 0.0000 0.0000 0.0000  4 S 3.57
Sn 0.0000 0.5000 0.5000  4 S 2.59
As 0.5000 0.2500 0.7500  4 S 2.43
S 0.6032 0.3652 0.4917  1 As 2.43, 1 Sn 2.59
S 0.1265 0.2380 0.6348  1 As 2.43, 1 Sn 2.59
S 0.8735 0.5083 0.1115  1 As 2.43, 1 Sn 2.59
S 0.3968 0.8885 0.7620  1 As 2.43, 1 Sn 2.59

- crystal system = tetragonal
- N(E_F) (states/eV per cell) = 3.4
- mass density (g/cm3) = 3.3
- energy relative to the elements, uncorrected (eV/atom) = -0.592
- total magnetization (μB/f.u.) = 0.000

***

Record 2
Here is a relaxed structure of Ho4GaSbS9 from Alexandria. Energies are from PBE.

Lattice parameters (Å, degrees): 9.8877 9.8877 13.4982 90.00 90.00 91.33
Closest atoms and distances in Å follow each position.
Element x y z (fractional)
Ho 0.6834 0.6605 0.4007  6 S 2.72-2.85
Ho 0.3395 0.3166 0.5993  6 S 2.72-2.85
Ho 0.1834 0.1605 0.0993  6 S 2.72-2.85
Ho 0.8395 0.8166 0.9007  6 S 2.72-2.85
Ho 0.9564 0.3736 0.3120  6 S 2.71-2.87
Ho 0.6264 0.0436 0.6880  6 S 2.71-2.87
Ho 0.4564 0.8736 0.1880  6 S 2.71-2.87
Ho 0.1264 0.5436 0.8120  6 S 2.71-2.87
Ho 0.9088 0.8714 0.1891  7 S 2.69-2.98
Ho 0.1286 0.0912 0.8109  7 S 2.69-2.98
Ho 0.4088 0.3714 0.3109  7 S 2.69-2.98
Ho 0.6286 0.5912 0.6891  7 S 2.69-2.98
Ho 0.6649 0.5528 0.1043  6 S 2.68-2.79
Ho 0.4472 0.3351 0.8957  6 S 2.68-2.79
Ho 0.1649 0.0528 0.3957  6 S 2.68-2.79
Ho 0.9472 0.8351 0.6043  6 S 2.68-2.79
Ga 0.1771 0.6106 0.0898  4 S 2.29-2.33
Ga 0.3894 0.8229 0.9102  4 S 2.29-2.33
Ga 0.6771 0.1106 0.4102  4 S 2.29-2.33
Ga 0.8894 0.3229 0.5898  4 S 2.29-2.33
Sb 0.1636 0.6710 0.3866  3 S 2.48-2.66
Sb 0.3290 0.8364 0.6134  3 S 2.48-2.66
Sb 0.6636 0.1710 0.1134  3 S 2.48-2.66
Sb 0.8290 0.3364 0.8866  3 S 2.48-2.66
S 0.9803 0.8368 0.4008  1 Sb 2.48, 1 Ho 2.77
S 0.1632 0.0197 0.5992  1 Sb 2.48, 1 Ho 2.77
S 0.4803 0.3368 0.0992  1 Sb 2.48, 1 Ho 2.77
S 0.6632 0.5197 0.9008  1 Sb 2.48, 1 Ho 2.77
S 0.8462 0.3426 0.0830  2 Sb 2.48-2.66
S 0.6574 0.1538 0.9170  2 Sb 2.48-2.66
S 0.3462 0.8426 0.4170  2 Sb 2.48-2.66
S 0.1574 0.6538 0.5830  2 Sb 2.48-2.66
S 0.1801 0.7927 0.1970  1 Ga 2.31
S 0.2073 0.8199 0.8030  1 Ga 2.31
S 0.6801 0.2927 0.3030  1 Ga 2.31
S 0.7073 0.3199 0.6970  1 Ga 2.31
S 0.1782 0.4208 0.1895  1 Ga 2.31
S 0.5792 0.8218 0.8105  1 Ga 2.31
S 0.6782 0.9208 0.3105  1 Ga 2.31
S 0.0792 0.3218 0.6895  1 Ga 2.31
S 0.8777 0.1223 0.5000  2 Ga 2.33
S 0.3777 0.6223 0.0000  2 Ga 2.33
S 0.8866 0.5030 0.4834  1 Ga 2.29
S 0.4970 0.1134 0.5166  1 Ga 2.29
S 0.3866 0.0030 0.0166  1 Ga 2.29
S 0.9970 0.6134 0.9834  1 Ga 2.29
S 0.1907 0.3191 0.4301  4 Ho 2.68-2.87
S 0.6809 0.8093 0.5699  4 Ho 2.68-2.87
S 0.6907 0.8191 0.0699  4 Ho 2.68-2.87
S 0.1809 0.3093 0.9301  4 Ho 2.68-2.87
S 0.9970 0.1186 0.2454  4 Ho 2.69-2.72
S 0.8814 0.0030 0.7546  4 Ho 2.69-2.72
S 0.4970 0.6186 0.2546  4 Ho 2.69-2.72
S 0.3814 0.5030 0.7454  4 Ho 2.69-2.72
S 0.5046 0.4954 0.5000  4 Ho 2.73-2.98
S 0.0046 0.9954 0.0000  4 Ho 2.73-2.98
S 0.8553 0.6087 0.2440  4 Ho 2.71-2.77
S 0.3913 0.1447 0.7560  4 Ho 2.71-2.77
S 0.3553 0.1087 0.2560  4 Ho 2.71-2.77
S 0.8913 0.6447 0.7440  4 Ho 2.71-2.77

- crystal system = orthorhombic
- N(E_F) (states/eV per cell) = 0.0
- mass density (g/cm3) = 5.7
- energy relative to the elements, uncorrected (eV/atom) = -1.538
- total magnetization (μB/f.u.) = 0.000

***

Record 3
Here is a relaxed structure of PuNCl from Alexandria. Energies are from PBE.

Lattice parameters (Å, degrees): 3.2388 3.2388 5.6164 106.76 106.76 90.00
Closest atoms and distances in Å follow each position.
Element x y z (fractional)
Cl 0.0005 0.0005 0.0011  1 N 2.76, 1 Pu 2.78
Pu 0.7297 0.7297 0.4594  4 N 2.33
N 0.2698 0.2698 0.5395  4 Pu 2.33

- crystal system = tetragonal
- N(E_F) (states/eV per cell) = 6.2
- mass density (g/cm3) = 9.1
- energy relative to the elements, uncorrected (eV/atom) = -1.015
- total magnetization (μB/f.u.) = 4.000

***

Record 4
Here is a relaxed structure of TaBiSbTe2 from Alexandria. Energies are from PBE.

Lattice parameters (Å, degrees): 5.3537 5.3537 5.5294 90.00 90.00 90.00
Closest atoms and distances in Å follow each position.
Element x y z (fractional)
Sb 0.0000 0.0000 0.5000  2 Ta 2.76
Te 0.0000 0.5000 0.0000  2 Ta 2.68
Te 0.5000 0.0000 0.0000  2 Ta 2.68
Bi 0.5000 0.5000 0.5000  4 Sb 3.79, 8 Te 3.85
Ta 0.0000 0.0000 0.0000  4 Te 2.68, 2 Sb 2.76

- crystal system = tetragonal
- N(E_F) (states/eV per cell) = 6.9
- mass density (g/cm3) = 8.0
- energy relative to the elements, uncorrected (eV/atom) = 0.395
- total magnetization (μB/f.u.) = 0.132

***

Record 5
Here is a relaxed structure of ZrAs from Alexandria. Energies are from PBE.

Lattice parameters (Å, degrees): 5.2867 5.2867 7.0213 72.95 72.95 39.93
Closest atoms and distances in Å follow each position.
Element x y z (fractional)
Zr 0.3314 0.3314 0.3385  7 As 2.75-2.92
Zr 0.0068 0.0068 0.6122  6 As 2.68-2.90
Zr 0.2319 0.2319 0.9384  7 As 2.74-2.92
As 0.9315 0.9315 0.0131  6 Zr 2.68-2.87
As 0.7134 0.7134 0.6539  7 Zr 2.74-2.84
As 0.6183 0.6183 0.2773  7 Zr 2.75-2.92, 1 As 3.07

- crystal system = monoclinic
- N(E_F) (states/eV per cell) = 3.1
- mass density (g/cm3) = 6.9
- formation energy from the elements (eV/atom) = -0.9815
- total magnetization (μB/f.u.) = 0.000

***

Record 6
Here is a relaxed structure of CsZnSnH2 from Alexandria. Energies are from PBE.

Lattice parameters (Å, degrees): 4.4547 8.2506 4.4547 90.00 90.00 90.00
Closest atoms and distances in Å follow each position.
Element x y z (fractional)
Cs 0.0000 0.0000 0.0000  4 H 2.23
H 0.0000 0.0000 0.5000  2 Cs 2.23
H 0.5000 0.0000 0.0000  2 Cs 2.23
Zn 0.5000 0.5000 0.5000  4 Sn 3.15
Sn 0.0000 0.5000 0.0000  4 Zn 3.15

- crystal system = tetragonal
- N(E_F) (states/eV per cell) = 3.6
- mass density (g/cm3) = 3.2
- total magnetization (μB/f.u.) = 0.186

***

Record 7
Here is a relaxed structure of Fe2CuI from Alexandria. Energies are from PBE.

Lattice parameters (Å, degrees): 4.3889 4.3889 4.3889 60.00 60.00 60.00
Closest atoms and distances in Å follow each position.
Element x y z (fractional)
I 0.5000 0.5000 0.5000  8 Fe 2.69
Fe 0.2500 0.2500 0.2500  4 I 2.69, 4 Cu 2.69
Fe 0.7500 0.7500 0.7500  4 Cu 2.69, 4 I 2.69
Cu 0.0000 0.0000 0.0000  8 Fe 2.69

- crystal system = cubic
- N(E_F) (states/eV per cell) = 3.0
- mass density (g/cm3) = 8.4
- energy relative to the elements, uncorrected (eV/atom) = 0.824
- total magnetization (μB/f.u.) = 4.564

***

Record 8
Here is a relaxed structure of Li3CuGe4 from Alexandria. Energies are from PBE.

Lattice parameters (Å, degrees): 3.0852 8.5689 6.7894 129.13 103.13 90.00
Closest atoms and distances in Å follow each position.
Element x y z (fractional)
Li 0.2167 0.2167 0.4333  6 Ge 2.63-2.75, 2 Cu 2.67
Li 0.7833 0.7833 0.5667  6 Ge 2.63-2.75, 2 Cu 2.67
Li 0.0000 0.5000 0.0000  8 Ge 2.98, 6 Li 3.09-3.24
Cu 0.5000 0.0000 0.0000  4 Ge 2.52, 4 Li 2.67
Ge 0.3650 0.6174 0.7301  1 Cu 2.52, 3 Li 2.63-2.75, 3 Ge 2.72-2.78
Ge 0.6350 0.3826 0.2699  1 Cu 2.52, 3 Li 2.63-2.75, 3 Ge 2.72-2.78
Ge 0.6350 0.8874 0.2699  1 Cu 2.52, 3 Li 2.63-2.75, 3 Ge 2.72-2.78
Ge 0.3650 0.1126 0.7301  1 Cu 2.52, 3 Li 2.63-2.75, 3 Ge 2.72-2.78

- crystal system = orthorhombic
- N(E_F) (states/eV per cell) = 1.9
- mass density (g/cm3) = 4.7
- formation energy from the elements (eV/atom) = -0.1231
- total magnetization (μB/f.u.) = 0.000

***

Record 9
Here is a relaxed structure of PuAl10Zn2 from Alexandria. Energies are from PBE.

Lattice parameters (Å, degrees): 5.3262 7.1613 6.8685 81.71 67.19 68.17
Closest atoms and distances in Å follow each position.
Element x y z (fractional)
Pu 0.0000 0.0000 0.0000  16 Al 3.25-3.43, 4 Zn 3.58
Al 0.3537 0.6482 0.6445  7 Al 2.69-3.00, 2 Zn 2.79
Al 0.6463 0.3518 0.3555  7 Al 2.69-3.00, 2 Zn 2.79
Al 0.0018 0.3518 0.6445  7 Al 2.69-3.00, 2 Zn 2.79
Al 0.9982 0.6482 0.3555  7 Al 2.69-3.00, 2 Zn 2.79
Al 0.0000 0.0000 0.5000  10 Al 2.66-2.84
Al 0.5000 0.0000 0.5000  10 Al 2.66-2.84
Al 0.2840 0.2182 0.2137  2 Zn 2.67, 7 Al 2.68-2.95
Al 0.7160 0.7818 0.7863  2 Zn 2.67, 7 Al 2.68-2.95
Al 0.5023 0.7818 0.2137  2 Zn 2.67, 7 Al 2.68-2.95
Al 0.4977 0.2182 0.7863  2 Zn 2.67, 7 Al 2.68-2.95
Zn 0.0000 0.5000 0.0000  2 Zn 2.66, 8 Al 2.67-2.79
Zn 0.5000 0.5000 0.0000  2 Zn 2.66, 8 Al 2.67-2.79

- crystal system = orthorhombic
- N(E_F) (states/eV per cell) = 10.4
- mass density (g/cm3) = 4.8
- formation energy from the elements (eV/atom) = -0.0686
- total magnetization (μB/f.u.) = 5.224

***

Record 10
Here is a relaxed structure of Pr4NdHo2 from Alexandria. Energies are from PBE.

Lattice parameters (Å, degrees): 5.8096 5.8096 9.3842 108.03 108.03 90.00
Closest atoms and distances in Å follow each position.
Element x y z (fractional)
Pr 0.8139 0.8139 0.6279  1 Nd 3.14, 1 Ho 3.46
Pr 0.1861 0.1861 0.3721  1 Nd 3.14, 1 Ho 3.46
Pr 0.0000 0.5000 0.0000  2 Nd 2.90
Pr 0.5000 0.0000 0.0000  2 Nd 2.90
Nd 0.0000 0.0000 0.0000  6 Pr 2.90-3.14
Ho 0.3913 0.3913 0.7826  5 Pr 3.44-3.46, 1 Ho 3.67
Ho 0.6087 0.6087 0.2174  5 Pr 3.44-3.46, 1 Ho 3.67

- crystal system = tetragonal
- N(E_F) (states/eV per cell) = 12.5
- mass density (g/cm3) = 6.1
- formation energy from the elements (eV/atom) = 0.6471
- total magnetization (μB/f.u.) = 0.016

***

Record 11
Here is a relaxed structure of LaTbNdTe3 from Alexandria. Energies are from PBE.

Lattice parameters (Å, degrees): 4.3679 8.7158 11.0806 105.75 90.00 90.00
Closest atoms and distances in Å follow each position.
Element x y z (fractional)
La 0.2500 0.1862 0.2146  7 Te 3.24-3.40
La 0.7500 0.8138 0.7854  7 Te 3.24-3.40
Tb 0.2500 0.6621 0.0956  5 Te 3.04-3.11
Tb 0.7500 0.3379 0.9044  5 Te 3.04-3.11
Nd 0.2500 0.1565 0.6212  5 Te 3.13-3.31
Nd 0.7500 0.8435 0.3788  5 Te 3.13-3.31
Te 0.7500 0.9081 0.1044  2 Tb 3.04, 1 Nd 3.24, 3 La 3.24-3.40
Te 0.2500 0.0919 0.8956  2 Tb 3.04, 1 Nd 3.24, 3 La 3.24-3.40
Te 0.2500 0.7717 0.5584  3 Nd 3.13-3.23, 2 La 3.28
Te 0.7500 0.2283 0.4416  3 Nd 3.13-3.23, 2 La 3.28
Te 0.7500 0.4745 0.1941  3 Tb 3.10-3.11, 1 Nd 3.31, 2 La 3.38
Te 0.2500 0.5255 0.8059  3 Tb 3.10-3.11, 1 Nd 3.31, 2 La 3.38

- crystal system = monoclinic
- N(E_F) (states/eV per cell) = 8.3
- mass density (g/cm3) = 6.7
- energy relative to the elements, uncorrected (eV/atom) = -1.323
- total magnetization (μB/f.u.) = 0.606

***

Record 12
Here is a relaxed structure of SrCa2Zn2Ge2 from Alexandria. Energies are from PBE.

Lattice parameters (Å, degrees): 4.5682 4.5682 9.8088 76.53 76.53 60.00
Closest atoms and distances in Å follow each position.
Element x y z (fractional)
Sr 0.0000 0.0000 0.0000  6 Ge 3.43, 6 Zn 3.55, 2 Ca 3.76
Ca 0.1328 0.1328 0.6017  3 Zn 2.98, 3 Ge 3.07, 3 Ca 3.26
Ca 0.8672 0.8672 0.3983  3 Zn 2.98, 3 Ge 3.07, 3 Ca 3.26
Zn 0.5829 0.5829 0.2512  3 Ge 2.64
Zn 0.4171 0.4171 0.7488  3 Ge 2.64
Ge 0.7439 0.7439 0.7682  3 Zn 2.64
Ge 0.2561 0.2561 0.2318  3 Zn 2.64

- crystal system = trigonal
- N(E_F) (states/eV per cell) = 1.9
- mass density (g/cm3) = 4.3
- formation energy from the elements (eV/atom) = -0.4019
- total magnetization (μB/f.u.) = 0.000

***

Calculated total energy values (in eV/atom) by entry order: -3.951, -5.712, -9.183, -4.833, -7.580, -1.606, -4.818, -3.662, -4.246, -4.073, -5.282, -2.897.